Material: NbCdFeAs
Method: DFT, PBE-GGA
State: optimized geometry

Lattice parameters (Å, degrees): 4.5925 4.5925 4.5925 60.00 60.00 60.00
Last column: nearest neighbours and their distance in Å.
Element x y z (fractional)
Nb 0.0000 0.0000 0.0000  4 Fe 2.81, 4 Cd 2.81
Cd 0.2500 0.2500 0.2500  4 Nb 2.81, 4 As 2.81
Fe 0.7500 0.7500 0.7500  4 As 2.81, 4 Nb 2.81
As 0.5000 0.5000 0.5000  4 Fe 2.81, 4 Cd 2.81

The excess energy over the best structure of this formula in the dataset comes out at 169 meV per atom. The space-group type is No. 216. For the magnetization, the calculation gives 0.064 μB per atom.



Material: Ho3Sc3ReTe2
Method: DFT, PBE-GGA
State: optimized geometry

Lattice parameters (Å, degrees): 8.0326 8.0326 3.9891 90.00 90.00 120.00
Last column: nearest neighbours and their distance in Å.
Element x y z (fractional)
Ho 0.0000 0.7550 0.0000  2 Re 2.80, 2 Te 3.09
Ho 0.2450 0.2450 0.0000  2 Re 2.80, 2 Te 3.09
Ho 0.7550 0.0000 0.0000  2 Re 2.80, 2 Te 3.09
Sc 0.0000 0.3860 0.5000  1 Re 3.10, 4 Te 3.19, 4 Ho 3.37
Sc 0.3860 0.0000 0.5000  1 Re 3.10, 4 Te 3.19, 4 Ho 3.37
Sc 0.6140 0.6140 0.5000  1 Re 3.10, 4 Te 3.19, 4 Ho 3.37
Re 0.0000 0.0000 0.5000  6 Ho 2.80, 3 Sc 3.10
Te 0.3333 0.6667 0.0000  3 Ho 3.09, 6 Sc 3.19
Te 0.6667 0.3333 0.0000  3 Ho 3.09, 6 Sc 3.19

The excess energy over the best structure of this formula in the dataset comes out at 162 meV per atom. The space-group type is No. 189. For the magnetization, the calculation gives 0.006 μB per atom.



Material: Hf3As
Method: DFT, PBE-GGA
State: optimized geometry

Lattice parameters (Å, degrees): 8.1814 8.1814 15.3779 90.33 90.33 38.55
Last column: nearest neighbours and their distance in Å.
Element x y z (fractional)
Hf 0.0014 0.5312 0.6988  3 As 2.73-2.93, 1 Hf 3.02
Hf 0.0439 0.1217 0.6915  4 As 2.77-2.82, 1 Hf 3.09
Hf 0.0511 0.4703 0.0947  2 As 2.76-2.97, 2 Hf 2.96-3.02
Hf 0.1206 0.5692 0.4892  2 As 2.76-2.86, 2 Hf 2.96-3.05
Hf 0.1217 0.0439 0.1915  4 As 2.77-2.82, 1 Hf 3.09
Hf 0.1978 0.7034 0.9834  3 As 2.71-2.96
Hf 0.2966 0.8022 0.5166  3 As 2.71-2.96
Hf 0.4226 0.4612 0.1667  4 As 2.76-2.81, 1 Hf 3.09
Hf 0.4308 0.8794 0.0108  2 As 2.76-2.86, 2 Hf 2.96-3.05
Hf 0.4612 0.4226 0.6667  4 As 2.76-2.81, 1 Hf 3.09
Hf 0.4688 0.9986 0.8012  3 As 2.73-2.93, 1 Hf 3.02
Hf 0.4703 0.0511 0.5947  2 As 2.76-2.97, 2 Hf 2.96-3.02
Hf 0.5297 0.9489 0.4053  2 As 2.76-2.97, 2 Hf 2.96-3.02
Hf 0.5312 0.0014 0.1988  3 As 2.73-2.93, 1 Hf 3.02
Hf 0.5388 0.5774 0.3333  4 As 2.76-2.81, 1 Hf 3.09
Hf 0.5692 0.1206 0.9892  2 As 2.76-2.86, 2 Hf 2.96-3.05
Hf 0.5774 0.5388 0.8333  4 As 2.76-2.81, 1 Hf 3.09
Hf 0.7034 0.1978 0.4834  3 As 2.71-2.96
Hf 0.8022 0.2966 0.0166  3 As 2.71-2.96
Hf 0.8783 0.9561 0.8085  4 As 2.77-2.82, 1 Hf 3.09
Hf 0.8794 0.4308 0.5108  2 As 2.76-2.86, 2 Hf 2.96-3.05
Hf 0.9489 0.5297 0.9053  2 As 2.76-2.97, 2 Hf 2.96-3.02
Hf 0.9561 0.8783 0.3085  4 As 2.77-2.82, 1 Hf 3.09
Hf 0.9986 0.4688 0.3012  3 As 2.73-2.93, 1 Hf 3.02
As 0.0632 0.1060 0.3719  9 Hf 2.71-2.97
As 0.1060 0.0632 0.8719  9 Hf 2.71-2.97
As 0.3345 0.4214 0.8327  9 Hf 2.73-2.93
As 0.4214 0.3345 0.3327  9 Hf 2.73-2.93
As 0.5786 0.6655 0.6673  9 Hf 2.73-2.93
As 0.6655 0.5786 0.1673  9 Hf 2.73-2.93
As 0.8940 0.9368 0.1281  9 Hf 2.71-2.97
As 0.9368 0.8940 0.6281  9 Hf 2.71-2.97

The space-group type is No. 15. For the magnetization, the calculation gives 0.000 μB per atom.



Material: ReB2Mo
Method: DFT, PBE-GGA
State: optimized geometry

Lattice parameters (Å, degrees): 8.7692 8.7692 8.7692 159.56 159.56 29.07
Last column: nearest neighbours and their distance in Å.
Element x y z (fractional)
Re 0.0000 0.0000 0.0000  7 B 2.30-2.52
Re 0.7500 0.2500 0.5000  7 B 2.30-2.52
B 0.1483 0.1483 0.0000  2 B 1.89
B 0.2112 0.7112 0.5000  2 B 1.89
B 0.4612 0.4612 0.0000  2 B 1.89
B 0.8983 0.3983 0.5000  2 B 1.89
Mo 0.3593 0.8593 0.5000  7 B 2.30-2.51
Mo 0.6093 0.6093 0.0000  7 B 2.30-2.51

The excess energy over the best structure of this formula in the dataset comes out at 0 meV per atom. The space-group type is No. 109. For the magnetization, the calculation gives 0.001 μB per atom.



Material: Sm2Sc2CIBr2Cl2
Method: DFT, PBE-GGA
State: optimized geometry

Lattice parameters (Å, degrees): 8.9602 8.9602 8.0664 104.44 104.44 24.23
Last column: nearest neighbours and their distance in Å.
Element x y z (fractional)
Sm 0.1432 0.1432 0.0842  1 C 2.43
Sm 0.8568 0.8568 0.9158  1 C 2.43
Sc 0.4991 0.4991 0.8147  2 C 2.40, 1 Cl 2.65
Sc 0.5009 0.5009 0.1853  2 C 2.40, 1 Cl 2.65
C 0.0000 0.0000 0.0000  4 Sc 2.40, 2 Sm 2.43
I 0.0000 0.0000 0.5000  4 Sc 3.16
Br 0.3355 0.3355 0.1796  1 Sc 2.89, 2 Sm 2.93
Br 0.6645 0.6645 0.8204  1 Sc 2.89, 2 Sm 2.93
Cl 0.3463 0.3463 0.6608  1 Sc 2.65, 2 Sm 2.76
Cl 0.6537 0.6537 0.3392  1 Sc 2.65, 2 Sm 2.76

The excess energy over the best structure of this formula in the dataset comes out at 30 meV per atom. The space-group type is No. 12. For the magnetization, the calculation gives 0.034 μB per atom.



Material: LaNbTeO6
Method: DFT, PBE-GGA
State: optimized geometry

Lattice parameters (Å, degrees): 6.7464 7.4400 10.7099 79.50 77.01 89.90
Last column: nearest neighbours and their distance in Å.
Element x y z (fractional)
La 0.1679 0.2162 0.1571  8 O 2.40-2.58
La 0.2606 0.3609 0.4959  8 O 2.45-2.58
La 0.7394 0.6391 0.5041  8 O 2.45-2.58
La 0.8321 0.7838 0.8429  8 O 2.40-2.58
Nb 0.3164 0.0456 0.8032  3 O 1.81-2.02
Nb 0.3261 0.5400 0.8013  3 O 1.80-2.01
Nb 0.6739 0.4600 0.1987  3 O 1.80-2.01
Nb 0.6836 0.9544 0.1968  3 O 1.81-2.02
Te 0.1790 0.7044 0.1969  3 O 1.89-1.93
Te 0.2386 0.8735 0.4926  3 O 1.92-1.95
Te 0.7614 0.1265 0.5074  3 O 1.92-1.95
Te 0.8210 0.2956 0.8031  3 O 1.89-1.93
O 0.0017 0.1016 0.7895  1 Te 1.89
O 0.0052 0.4785 0.8213  1 Te 1.91
O 0.0355 0.1745 0.4057  1 Te 1.92
O 0.1112 0.6313 0.3843  1 Te 1.93
O 0.2124 0.7852 0.8215  2 Nb 2.01-2.02
O 0.2569 0.0653 0.9739  1 Nb 1.81
O 0.3212 0.4437 0.9689  1 Nb 1.80
O 0.3231 0.0451 0.5885  1 Te 1.94
O 0.3494 0.6509 0.5734  1 Te 1.95
O 0.3630 0.3162 0.7173  2 Nb 2.02-2.05
O 0.3884 0.3902 0.2580  1 Nb 1.93
O 0.4044 0.9951 0.2228  1 Nb 1.87
O 0.5956 0.0049 0.7772  1 Nb 1.87
O 0.6116 0.6098 0.7420  1 Nb 1.93
O 0.6370 0.6838 0.2827  2 Nb 2.02-2.05
O 0.6506 0.3491 0.4266  1 Te 1.95
O 0.6769 0.9549 0.4115  1 Te 1.94
O 0.6788 0.5563 0.0311  1 Nb 1.80
O 0.7431 0.9347 0.0261  1 Nb 1.81
O 0.7876 0.2148 0.1785  2 Nb 2.01-2.02
O 0.8888 0.3687 0.6157  1 Te 1.93
O 0.9645 0.8255 0.5943  1 Te 1.92
O 0.9948 0.5215 0.1787  1 Te 1.91
O 0.9983 0.8984 0.2105  1 Te 1.89

The space-group type is No. 2. For the magnetization, the calculation gives 0.000 μB per atom.



Material: Na5Tm4Si4O16F
Method: DFT, PBE-GGA
State: optimized geometry

Lattice parameters (Å, degrees): 8.4960 8.4960 8.4960 95.69 95.69 143.28
Last column: nearest neighbours and their distance in Å.
Element x y z (fractional)
Na 0.0000 0.0000 0.0000  8 O 2.53-2.74, 2 F 2.68
Na 0.0981 0.5837 0.6931  3 O 2.28-2.46
Na 0.4163 0.1094 0.5144  3 O 2.28-2.46
Na 0.5950 0.9019 0.4856  3 O 2.28-2.46
Na 0.8906 0.4050 0.3069  3 O 2.28-2.46
Tm 0.2947 0.3607 0.7039  6 O 2.21-2.38, 1 F 2.45
Tm 0.4092 0.7053 0.0660  6 O 2.21-2.38, 1 F 2.45
Tm 0.6393 0.3432 0.9340  6 O 2.21-2.38, 1 F 2.45
Tm 0.6568 0.5908 0.2961  6 O 2.21-2.38, 1 F 2.45
Si 0.1152 0.2581 0.3516  4 O 1.63-1.65
Si 0.2364 0.8848 0.1429  4 O 1.63-1.65
Si 0.7419 0.0935 0.8571  4 O 1.63-1.65
Si 0.9065 0.7636 0.6484  4 O 1.63-1.65
O 0.0514 0.2853 0.8626  1 Si 1.63
O 0.0975 0.3767 0.5008  1 Si 1.63
O 0.1329 0.6905 0.9644  1 Si 1.65
O 0.2267 0.0542 0.7636  1 Si 1.64
O 0.2907 0.4631 0.2364  1 Si 1.64
O 0.3095 0.2739 0.4424  1 Si 1.65
O 0.4033 0.9025 0.2792  1 Si 1.63
O 0.4227 0.1889 0.1374  1 Si 1.63
O 0.5369 0.7733 0.8276  1 Si 1.64
O 0.6233 0.1241 0.7208  1 Si 1.63
O 0.7147 0.5773 0.7662  1 Si 1.63
O 0.7261 0.1686 0.0356  1 Si 1.65
O 0.8111 0.9486 0.2338  1 Si 1.63
O 0.8314 0.8671 0.5576  1 Si 1.65
O 0.8759 0.5967 0.4992  1 Si 1.63
O 0.9458 0.7093 0.1724  1 Si 1.64
F 0.5000 0.5000 0.0000  4 Tm 2.45, 8 O 2.60-2.69, 2 Na 2.68

The space-group type is No. 82. For the magnetization, the calculation gives 0.000 μB per atom.



Material: ScFeCoSb
Method: DFT, PBE-GGA
State: optimized geometry

Lattice parameters (Å, degrees): 4.3554 4.3554 4.3554 60.00 60.00 60.00
Last column: nearest neighbours and their distance in Å.
Element x y z (fractional)
Sc 0.0000 0.0000 0.0000  4 Fe 2.67, 4 Co 2.67
Fe 0.7500 0.7500 0.7500  4 Sb 2.67, 4 Sc 2.67
Co 0.2500 0.2500 0.2500  4 Sb 2.67, 4 Sc 2.67
Sb 0.5000 0.5000 0.5000  4 Fe 2.67, 4 Co 2.67

The excess energy over the best structure of this formula in the dataset comes out at 0 meV per atom. The space-group type is No. 216. For the magnetization, the calculation gives 0.254 μB per atom.



Material: HgAsO3
Method: DFT, PBE-GGA
State: optimized geometry

Lattice parameters (Å, degrees): 3.6727 3.6727 4.6796 90.00 90.00 90.00
Last column: nearest neighbours and their distance in Å.
Element x y z (fractional)
Hg 0.0000 0.0000 0.0000  8 O 2.57-2.67
As 0.5000 0.5000 0.5110  5 O 1.75-1.90
O 0.0000 0.5000 0.6164  2 As 1.90
O 0.5000 0.0000 0.6164  2 As 1.90
O 0.5000 0.5000 0.1360  1 As 1.75

The space-group type is No. 99.



Material: HfZr2As4Pd4
Method: DFT, PBE-GGA
State: optimized geometry

Lattice parameters (Å, degrees): 6.6252 3.9390 7.7422 90.00 90.32 90.00
Last column: nearest neighbours and their distance in Å.
Element x y z (fractional)
Hf 0.0000 0.0000 0.0000  5 As 2.76-2.91, 5 Pd 2.92-3.03
Zr 0.4282 0.5000 0.4910  5 As 2.66-2.86
Zr 0.9237 0.5000 0.6247  5 As 2.78-2.88, 5 Pd 3.00-3.05
As 0.2130 0.0000 0.6839  4 Pd 2.55-2.70, 2 Zr 2.78, 1 Hf 2.83
As 0.2406 0.5000 0.1860  4 Pd 2.46-2.74, 1 Zr 2.66
As 0.7035 0.0000 0.4289  4 Pd 2.58-2.69, 4 Zr 2.73-2.88
As 0.7160 0.5000 0.9374  4 Pd 2.50-2.70, 2 Hf 2.76, 1 Zr 2.79
Pd 0.1031 0.0000 0.3666  4 As 2.56-2.69, 2 Pd 2.82
Pd 0.3142 0.5000 0.8743  4 As 2.46-2.70
Pd 0.6131 0.0000 0.7533  4 As 2.52-2.70
Pd 0.8328 0.5000 0.2453  4 As 2.50-2.74

The excess energy over the best structure of this formula in the dataset comes out at 0 meV per atom. The space-group type is No. 6. For the magnetization, the calculation gives 0.001 μB per atom.



Material: ZrAlPt
Method: DFT, PBE-GGA
State: optimized geometry

Lattice parameters (Å, degrees): 7.1445 7.1445 7.2989 90.00 90.00 120.00
Last column: nearest neighbours and their distance in Å.
Element x y z (fractional)
Zr 0.0190 0.6068 0.2500  5 Pt 2.81-2.88, 4 Al 3.03-3.06
Zr 0.3932 0.4122 0.2500  5 Pt 2.81-2.88, 4 Al 3.03-3.06
Zr 0.4122 0.3932 0.7500  5 Pt 2.81-2.88, 4 Al 3.03-3.06
Zr 0.5878 0.9810 0.2500  5 Pt 2.81-2.88, 4 Al 3.03-3.06
Zr 0.6068 0.0190 0.7500  5 Pt 2.81-2.88, 4 Al 3.03-3.06
Zr 0.9810 0.5878 0.7500  5 Pt 2.81-2.88, 4 Al 3.03-3.06
Al 0.0000 0.2587 0.0000  4 Pt 2.60-2.69
Al 0.0000 0.2587 0.5000  4 Pt 2.60-2.69
Al 0.2587 0.0000 0.0000  4 Pt 2.60-2.69
Al 0.2587 0.0000 0.5000  4 Pt 2.60-2.69
Al 0.7413 0.7413 0.0000  4 Pt 2.60-2.69
Al 0.7413 0.7413 0.5000  4 Pt 2.60-2.69
Pt 0.0000 0.0000 0.2500  6 Al 2.60, 3 Zr 2.88
Pt 0.0000 0.0000 0.7500  6 Al 2.60, 3 Zr 2.88
Pt 0.3333 0.6667 0.5258  3 Al 2.69, 6 Zr 2.81-2.88
Pt 0.3333 0.6667 0.9742  3 Al 2.69, 6 Zr 2.81-2.88
Pt 0.6667 0.3333 0.0258  3 Al 2.69, 6 Zr 2.81-2.88
Pt 0.6667 0.3333 0.4742  3 Al 2.69, 6 Zr 2.81-2.88

The space-group type is No. 190. For the magnetization, the calculation gives 0.001 μB per atom.



Material: ZrNpIn
Method: DFT, PBE-GGA
State: optimized geometry

Lattice parameters (Å, degrees): 4.9968 4.9968 4.9968 60.00 60.00 60.00
Last column: nearest neighbours and their distance in Å.
Element x y z (fractional)
Zr 0.0000 0.0000 0.0000  4 In 3.06
Np 0.5000 0.5000 0.5000  4 In 3.06
In 0.7500 0.7500 0.7500  4 Zr 3.06, 4 Np 3.06

The space-group type is No. 216. For the magnetization, the calculation gives 1.997 μB per atom.



Looking at electronic total energy for the records above, in order, we have -5.474; -6.243; -9.275; -9.432; -5.417; -7.725; -7.192; -6.779; -4.544; -6.873; -7.164; -7.364 eV per atom.